Entry 1:
Ho2Bi2S7: optimized geometry, GGA-PBE.

Values from the calculation:
For the formation energy from raw total energies, the calculation gives -0.998 eV per atom. The value obtained for the uncorrected energy is -113.577 eV per cell.

Structure (CIF):
```
data_Ho2Bi2S7
_cell_length_a 4.085
_cell_length_b 15.128
_cell_length_c 8.966
_cell_angle_alpha 90.00
_cell_angle_beta 90.00
_cell_angle_gamma 90.00
_space_group_name_H-M_alt 'I m m 2'
_space_group_IT_number 44
_space_group_name_Hall 'I 2 -2'
loop_
_atom_site_label
_atom_site_type_symbol
_atom_site_fract_x
_atom_site_fract_y
_atom_site_fract_z
Ho1 Ho 0.000 0.000 0.000
Ho2 Ho 0.000 0.500 0.012
Bi1 Bi 0.000 0.260 0.676
S1 S 0.000 0.000 0.701
S2 S 0.000 0.070 0.312
S3 S 0.000 0.314 0.037
S4 S 0.000 0.379 0.469
```

=====

Entry 2:
Y2PdC: optimized geometry, GGA-PBE.

Values from the calculation:
The density of states at the Fermi level is 0.230 states/eV per atom. Its energy above the most stable polymorph in this dataset is 0 kJ/mol of formula units. The value obtained for the uncorrected energy is -87.684 eV per cell.

Structure (CIF):
```
data_Y2PdC
_cell_length_a 3.6669
_cell_length_b 3.6669
_cell_length_c 20.6030
_cell_angle_alpha 90.00
_cell_angle_beta 90.00
_cell_angle_gamma 120.00
_space_group_name_H-M_alt 'R -3 m'
_space_group_IT_number 166
_space_group_name_Hall '-R 3 2"'
loop_
_atom_site_label
_atom_site_type_symbol
_atom_site_fract_x
_atom_site_fract_y
_atom_site_fract_z
Y1 Y 0.0000 0.0000 0.2328
Pd1 Pd 0.0000 0.0000 0.0000
C1 C 0.0000 0.0000 0.5000
```

=====

Entry 3:
Tb7HoEr2: optimized geometry, GGA-PBE.

Values from the calculation:
The density of states at the Fermi level is 1.759 states/eV per atom. Its energy above the most stable polymorph in this dataset is 0 kJ/mol of formula units. The value obtained for the uncorrected energy is -91.291 eV per cell.

Structure (CIF):
```
data_Tb7HoEr2
_cell_length_a 16.466
_cell_length_b 5.572
_cell_length_c 7.010
_cell_angle_alpha 90.00
_cell_angle_beta 102.39
_cell_angle_gamma 90.00
_space_group_name_H-M_alt 'C 1 2/m 1'
_space_group_IT_number 12
_space_group_name_Hall '-C 2y'
loop_
_atom_site_label
_atom_site_type_symbol
_atom_site_fract_x
_atom_site_fract_y
_atom_site_fract_z
Tb1 Tb 0.000 0.000 0.000
Tb2 Tb 0.098 0.500 0.301
Tb3 Tb 0.099 0.500 0.799
Tb4 Tb 0.212 0.000 0.854
Ho1 Ho 0.000 0.000 0.500
Er1 Er 0.211 0.000 0.356
```

=====

Entry 4:
CaSc2Ag: optimized geometry, GGA-PBE.

Values from the calculation:
The density of states at the Fermi level is 1.415 states/eV per atom. Its energy above the most stable polymorph in this dataset is 6 kJ/mol of formula units. The value obtained for the uncorrected energy is -35.395 eV per cell.

Structure (CIF):
```
data_CaSc2Ag
_cell_length_a 3.470
_cell_length_b 5.244
_cell_length_c 11.128
_cell_angle_alpha 90.00
_cell_angle_beta 90.00
_cell_angle_gamma 90.00
_space_group_name_H-M_alt 'I m m m'
_space_group_IT_number 71
_space_group_name_Hall '-I 2 2'
loop_
_atom_site_label
_atom_site_type_symbol
_atom_site_fract_x
_atom_site_fract_y
_atom_site_fract_z
Ca1 Ca 0.000 0.000 0.000
Sc1 Sc 0.000 0.500 0.213
Ag1 Ag 0.000 0.000 0.500
```

=====

Entry 5:
ZnRh2C: optimized geometry, GGA-PBE.

Values from the calculation:
The density of states at the Fermi level is 0.233 states/eV per atom. Its energy above the most stable polymorph in this dataset is 0 kJ/mol of formula units. The value obtained for the uncorrected energy is -99.327 eV per cell.

Structure (CIF):
```
data_ZnRh2C
_cell_length_a 6.298
_cell_length_b 6.298
_cell_length_c 5.408
_cell_angle_alpha 90.00
_cell_angle_beta 90.00
_cell_angle_gamma 90.00
_space_group_name_H-M_alt 'I -4 2 d'
_space_group_IT_number 122
_space_group_name_Hall 'I -4 2bw'
loop_
_atom_site_label
_atom_site_type_symbol
_atom_site_fract_x
_atom_site_fract_y
_atom_site_fract_z
Zn1 Zn 0.000 0.000 0.000
Rh1 Rh 0.147 0.250 0.625
C1 C 0.000 0.000 0.500
```

=====

Entry 6:
VAs2Br: optimized geometry, GGA-PBE.

Values from the calculation:
For the formation energy from raw total energies, the calculation gives 0.703 eV per atom. The density of states at the Fermi level is 1.569 states/eV per atom. Its energy above the most stable polymorph in this dataset is 151 kJ/mol of formula units. The value obtained for the uncorrected energy is -69.111 eV per cell.

Structure (CIF):
```
data_VAs2Br
_cell_length_a 6.778
_cell_length_b 6.778
_cell_length_c 6.778
_cell_angle_alpha 90.00
_cell_angle_beta 90.00
_cell_angle_gamma 90.00
_space_group_name_H-M_alt 'F m -3 m'
_space_group_IT_number 225
_space_group_name_Hall '-F 4 2 3'
loop_
_atom_site_label
_atom_site_type_symbol
_atom_site_fract_x
_atom_site_fract_y
_atom_site_fract_z
V1 V 0.000 0.000 0.000
As1 As 0.250 0.250 0.250
Br1 Br 0.000 0.000 0.500
```

=====

Entry 7:
ZrURh6: optimized geometry, GGA-PBE.

Values from the calculation:
The density of states at the Fermi level is 1.098 states/eV per atom. The value obtained for the uncorrected energy is -137.008 eV per cell.

Structure (CIF):
```
data_ZrURh6
_cell_length_a 8.902
_cell_length_b 4.039
_cell_length_c 8.022
_cell_angle_alpha 90.00
_cell_angle_beta 117.23
_cell_angle_gamma 90.00
_space_group_name_H-M_alt 'C 1 2/m 1'
_space_group_IT_number 12
_space_group_name_Hall '-C 2y'
loop_
_atom_site_label
_atom_site_type_symbol
_atom_site_fract_x
_atom_site_fract_y
_atom_site_fract_z
Zr1 Zr 0.000 0.000 0.000
U1 U 0.000 0.000 0.500
Rh1 Rh 0.000 0.500 0.250
Rh2 Rh 0.244 0.000 0.870
Rh3 Rh 0.245 0.500 0.621
```

=====

Entry 8:
Tb2Nd5Y4: optimized geometry, GGA-PBE.

Values from the calculation:
The density of states at the Fermi level is 1.655 states/eV per atom. Its energy above the most stable polymorph in this dataset is 205 kJ/mol of formula units. The value obtained for the uncorrected energy is -113.308 eV per cell.

Structure (CIF):
```
data_Tb2Nd5Y4
_cell_length_a 3.554
_cell_length_b 9.209
_cell_length_c 23.670
_cell_angle_alpha 90.00
_cell_angle_beta 90.00
_cell_angle_gamma 90.00
_space_group_name_H-M_alt 'I m m m'
_space_group_IT_number 71
_space_group_name_Hall '-I 2 2'
loop_
_atom_site_label
_atom_site_type_symbol
_atom_site_fract_x
_atom_site_fract_y
_atom_site_fract_z
Tb1 Tb 0.000 0.000 0.231
Nd1 Nd 0.000 0.200 0.353
Nd2 Nd 0.000 0.500 0.000
Y1 Y 0.000 0.000 0.098
Y2 Y 0.000 0.312 0.500
```

=====

Entry 9:
AsSe2SN: optimized geometry, GGA-PBE.

Values from the calculation:
For the formation energy from raw total energies, the calculation gives 1.136 eV per atom. The density of states at the Fermi level is 1.091 states/eV per atom. Its energy above the most stable polymorph in this dataset is 77 kJ/mol of formula units. The value obtained for the uncorrected energy is -18.390 eV per cell.

Structure (CIF):
```
data_AsSe2SN
_cell_length_a 5.113
_cell_length_b 5.113
_cell_length_c 3.647
_cell_angle_alpha 90.00
_cell_angle_beta 90.00
_cell_angle_gamma 90.00
_space_group_name_H-M_alt 'P 4/m m m'
_space_group_IT_number 123
_space_group_name_Hall '-P 4 2'
loop_
_atom_site_label
_atom_site_type_symbol
_atom_site_fract_x
_atom_site_fract_y
_atom_site_fract_z
As1 As 0.000 0.000 0.000
Se1 Se 0.000 0.500 0.000
S1 S 0.500 0.500 0.500
N1 N 0.000 0.000 0.500
```

=====

Entry 10:
Ac2DyIrO8: optimized geometry, GGA-PBE.

Values from the calculation:
For the formation energy from raw total energies, the calculation gives -2.229 eV per atom. The density of states at the Fermi level is 0.432 states/eV per atom. The value obtained for the uncorrected energy is -88.089 eV per cell.

Structure (CIF):
```
data_Ac2DyIrO8
_cell_length_a 4.586
_cell_length_b 7.245
_cell_length_c 5.554
_cell_angle_alpha 90.00
_cell_angle_beta 96.53
_cell_angle_gamma 90.00
_space_group_name_H-M_alt 'P 1 2/m 1'
_space_group_IT_number 10
_space_group_name_Hall '-P 2y'
loop_
_atom_site_label
_atom_site_type_symbol
_atom_site_fract_x
_atom_site_fract_y
_atom_site_fract_z
Ac1 Ac 0.000 0.243 0.000
Dy1 Dy 0.500 0.500 0.500
Ir1 Ir 0.500 0.000 0.500
O1 O 0.089 0.500 0.253
O2 O 0.123 0.000 0.345
O3 O 0.424 0.210 0.720
```

=====

Entry 11:
AsSe3: optimized geometry, GGA-PBE.

Values from the calculation:
For the formation energy from raw total energies, the calculation gives 0.121 eV per atom. The density of states at the Fermi level is 0.466 states/eV per atom. Its energy above the most stable polymorph in this dataset is 19 kJ/mol of formula units. The value obtained for the uncorrected energy is -43.858 eV per cell.

Structure (CIF):
```
data_AsSe3
_cell_length_a 3.9570
_cell_length_b 3.9570
_cell_length_c 19.6656
_cell_angle_alpha 90.00
_cell_angle_beta 90.00
_cell_angle_gamma 120.00
_space_group_name_H-M_alt 'R -3 m'
_space_group_IT_number 166
_space_group_name_Hall '-R 3 2"'
loop_
_atom_site_label
_atom_site_type_symbol
_atom_site_fract_x
_atom_site_fract_y
_atom_site_fract_z
As1 As 0.0000 0.0000 0.0000
Se1 Se 0.0000 0.0000 0.2545
Se2 Se 0.0000 0.0000 0.5000
```

=====

Entry 12:
Sc3SnBi: optimized geometry, GGA-PBE.

Values from the calculation:
The density of states at the Fermi level is 1.260 states/eV per atom. Its energy above the most stable polymorph in this dataset is 270 kJ/mol of formula units. The value obtained for the uncorrected energy is -25.922 eV per cell.

Structure (CIF):
```
data_Sc3SnBi
_cell_length_a 5.387
_cell_length_b 5.387
_cell_length_c 5.387
_cell_angle_alpha 90.00
_cell_angle_beta 90.00
_cell_angle_gamma 90.00
_space_group_name_H-M_alt 'P m -3 m'
_space_group_IT_number 221
_space_group_name_Hall '-P 4 2 3'
loop_
_atom_site_label
_atom_site_type_symbol
_atom_site_fract_x
_atom_site_fract_y
_atom_site_fract_z
Sc1 Sc 0.000 0.000 0.500
Sn1 Sn 0.500 0.500 0.500
Bi1 Bi 0.000 0.000 0.000
```